# TmCoSi2Ir

TmCoSi2Ir after structural relaxation (PBE-GGA, Alexandria via LeMat-Bulk).

Geometry as extended XYZ:
```
5
Lattice="-1.9786 1.9786 4.9395 1.9786 -1.9786 4.9395 1.9786 1.9786 -4.9395" Properties=species:S:1:pos:R:3 pbc="T T T"
Tm 0.0000 0.0000 0.0000
Co 0.0000 1.9786 2.4698
Si 0.0000 0.0000 3.7323
Si 0.0000 0.0000 6.1468
Ir 1.9786 0.0000 2.4698
```

Properties
ΔE_f (raw): -948 meV/atom

=====

# Tm2CoSi3Ir4

Tm2CoSi3Ir4 after structural relaxation (PBE-GGA, Alexandria via LeMat-Bulk).

Geometry as extended XYZ:
```
10
Lattice="4.0688 0.0000 0.0000 0.0000 4.0688 0.0000 0.0000 0.0000 9.9504" Properties=species:S:1:pos:R:3 pbc="T T T"
Tm 0.0000 2.0344 2.4713
Tm 2.0344 0.0000 7.4791
Co 2.0344 2.0344 0.0000
Si 0.0000 0.0000 0.0000
Si 0.0000 2.0344 6.2832
Si 2.0344 0.0000 3.6672
Ir 0.0000 0.0000 4.9752
Ir 0.0000 2.0344 8.6276
Ir 2.0344 0.0000 1.3227
Ir 2.0344 2.0344 4.9752
```

Properties
ΔE_f (raw): -910 meV/atom

=====

# UCoSi3Ir

UCoSi3Ir after structural relaxation (PBE-GGA, Alexandria via LeMat-Bulk).

Geometry as extended XYZ:
```
12
Lattice="2.7884 -7.1553 0.0000 2.7884 7.1553 0.0000 0.0000 0.0000 5.4603" Properties=species:S:1:pos:R:3 pbc="T T T"
U 2.7884 4.6230 4.0952
U 2.7884 -4.6230 1.3651
Co 2.7884 5.9136 1.3651
Co 2.7884 -5.9136 4.0952
Si 2.7884 3.7170 1.3651
Si 1.3752 0.0000 0.0000
Si 1.3752 0.0000 2.7301
Si 4.2015 0.0000 0.0000
Si 4.2015 0.0000 2.7301
Si 2.7884 -3.7170 4.0952
Ir 2.7884 1.3912 1.3651
Ir 2.7884 -1.3912 4.0952
```

Properties
ΔE_f (raw): -249 meV/atom

=====

# U2Co3Si4Ir

U2Co3Si4Ir after structural relaxation (PBE-GGA, Alexandria via LeMat-Bulk).

Geometry as extended XYZ:
```
10
Lattice="3.9269 0.0000 0.0000 0.0000 3.9269 0.0000 0.0000 0.0000 9.6030" Properties=species:S:1:pos:R:3 pbc="T T T"
U 0.0000 1.9635 2.3191
U 1.9635 0.0000 7.2839
Co 0.0000 1.9635 8.3827
Co 1.9635 0.0000 1.2203
Co 1.9635 1.9635 4.8015
Si 0.0000 0.0000 0.0000
Si 0.0000 1.9635 6.1380
Si 1.9635 0.0000 3.4650
Si 1.9635 1.9635 0.0000
Ir 0.0000 0.0000 4.8015
```

Properties
ΔE_f (raw): -662 meV/atom

=====

# UCoSi2Ir

UCoSi2Ir after structural relaxation (PBE-GGA, Alexandria via LeMat-Bulk).

Geometry as extended XYZ:
```
5
Lattice="-1.9709 1.9709 4.9948 1.9709 -1.9709 4.9948 1.9709 1.9709 -4.9948" Properties=species:S:1:pos:R:3 pbc="T T T"
U 0.0000 0.0000 0.0000
Co 0.0000 1.9709 2.4974
Si 0.0000 0.0000 3.8095
Si 0.0000 0.0000 6.1801
Ir 1.9709 0.0000 2.4974
```

Properties
ΔE_f (raw): -677 meV/atom

=====

# YCoSi3Ir

YCoSi3Ir after structural relaxation (PBE-GGA, Alexandria via LeMat-Bulk).

Geometry as extended XYZ:
```
12
Lattice="3.0687 -6.3427 0.0000 3.0687 6.3427 0.0000 0.0000 0.0000 5.5396" Properties=species:S:1:pos:R:3 pbc="T T T"
Y 3.0687 3.8333 4.1547
Y 3.0687 -3.8333 1.3849
Co 3.0687 5.8154 1.3849
Co 3.0687 -5.8154 4.1547
Si 3.0687 3.7084 1.3849
Si 1.7459 0.0000 0.0000
Si 1.7459 0.0000 2.7698
Si 4.3916 0.0000 0.0000
Si 4.3916 0.0000 2.7698
Si 3.0687 -3.7084 4.1547
Ir 3.0687 1.4647 1.3849
Ir 3.0687 -1.4647 4.1547
```

Properties
ΔE_f (raw): -515 meV/atom

=====

Number 1: M_tot 0.00 μB per atom. Number 2: M_tot 0.10 μB per atom. Number 3: M_tot 0.34 μB per atom. Number 4: M_tot 0.14 μB per atom. Number 5: M_tot 0.38 μB per atom. Number 6: M_tot 0.00 μB per atom.